No. 1
DFT (PBE) results for GaFePPd2 after structural relaxation.

The total energy is -25.1 eV for the cell shown. For the energy relative to the elements, the calculation gives 0.4280 eV/atom.

The structure belongs to space group P4/mmm (No. 123); the cell edges are 4.476, 4.476 and 4.585 Å and the angles 90.00°, 90.00° and 90.00°. The distinct sites, in fractional coordinates, are Ga at (0.000, 0.000, 0.000), Fe at (0.500, 0.500, 0.000), P at (0.000, 0.000, 0.500) and Pd at (0.000, 0.500, 0.500).



No. 2
DFT (PBE) results for GaFeRe2P after structural relaxation.

The total energy is -30.1 eV for the cell shown. For the energy relative to the elements, the calculation gives 2.3373 eV/atom.

The structure belongs to space group P4/mmm (No. 123); the cell edges are 4.574, 4.574 and 4.374 Å and the angles 90.00°, 90.00° and 90.00°. The distinct sites, in fractional coordinates, are Ga at (0.000, 0.000, 0.000), Fe at (0.500, 0.500, 0.500), Re at (0.000, 0.500, 0.000) and P at (0.000, 0.000, 0.500).



No. 3
DFT (PBE) results for GaFePRh2 after structural relaxation.

The total energy is -28.4 eV for the cell shown. For the energy relative to the elements, the calculation gives 0.6407 eV/atom.

The structure belongs to space group P4/mmm (No. 123); the cell edges are 4.625, 4.625 and 4.069 Å and the angles 90.00°, 90.00° and 90.00°. The distinct sites, in fractional coordinates, are Ga at (0.000, 0.000, 0.000), Fe at (0.500, 0.500, 0.500), P at (0.500, 0.500, 0.000) and Rh at (0.000, 0.500, 0.500).